{"formula": "LaEuTlPb", "functional": "PBE", "state": "optimized geometry", "total_magnetization_mub_per_cell": 7.266, "total_energy_ev_per_cell": -23.22, "delta_e_f_ev_per_fu": -1.94, "spacegroup": "F-43m (216)", "cell": [[5.648, 0.000, 0.000], [2.824, 4.892, 0.000], [2.824, 1.631, 4.612]], "species": ["Pb", "Eu", "Tl", "La"], "frac_coords": [[0.500, 0.500, 0.500], [0.250, 0.250, 0.250], [0.000, 0.000, 0.000], [0.750, 0.750, 0.750]]}

***

{"formula": "Np2RhPb", "functional": "PBE", "state": "optimized geometry", "total_magnetization_mub_per_cell": 8.052, "total_energy_ev_per_cell": -36.72, "delta_e_f_ev_per_fu": 0.22, "spacegroup": "P4/mmm (123)", "cell": [[-0.070, -3.840, -0.430], [3.862, -0.055, -0.138], [0.206, -0.681, 6.056]], "species": ["Np", "Np", "Pb", "Rh"], "frac_coords": [[0.000, 0.000, 0.786], [0.000, 0.000, 0.214], [0.500, 0.500, 0.500], [0.500, 0.500, 0.000]]}

***

{"formula": "Li2Cd3Sn3", "functional": "PBE", "state": "optimized geometry", "total_magnetization_mub_per_cell": 0.000, "total_energy_ev_per_cell": -19.82, "delta_e_f_ev_per_fu": -1.24, "spacegroup": "Pmmm (47)", "cell": [[4.534, 0.000, 0.000], [0.000, 4.526, 0.000], [0.000, 0.000, 8.828]], "species": ["Li", "Li", "Cd", "Cd", "Cd", "Sn", "Sn", "Sn"], "frac_coords": [[0.000, 0.000, 0.754], [0.000, 0.000, 0.246], [0.500, 0.500, 0.754], [0.500, 0.500, 0.246], [0.500, 0.000, 0.000], [0.500, 0.000, 0.500], [0.000, 0.500, 0.000], [0.000, 0.500, 0.500]]}

***

{"formula": "MgReSb2", "functional": "PBE", "state": "optimized geometry", "formation_energy_uncorrected_mev_per_atom": 208, "total_magnetization_mub_per_cell": 0.000, "total_energy_ev_per_cell": -21.45, "spacegroup": "P2/m (10)", "cell": [[-1.274, -0.047, -3.032], [1.032, -3.079, -0.386], [-5.781, -5.806, 2.520]], "species": ["Mg", "Re", "Sb", "Sb"], "frac_coords": [[0.500, 0.250, 0.250], [0.500, 0.750, 0.750], [0.000, 0.036, 0.960], [0.000, 0.464, 0.540]]}